# 1
This record from the Alexandria database describes K2IrRuF after structural relaxation. The functional is PBE.

Properties
Crystal system: tetragonal
Formation energy from raw total energies in eV per formula unit: 1.38
SG: P4/mmm, No. 123
Uncorrected energy in eV/atom: -4.165

a = 6.3176 Å, b = 4.5539 Å, c = 6.3176 Å
α = 90.00°, β = 90.00°, γ = 90.00°
Last column: nearest neighbours and their distance in Å.
Fractional coordinates of all 5 atoms:
Ru  0.0000  0.5000  0.0000  2 Ir 2.28
K  0.0000  0.0000  0.5000  2 Ir 3.16
K  0.5000  0.0000  0.0000  2 Ir 3.16
Ir  0.0000  0.0000  0.0000  2 Ru 2.28
F  0.5000  0.5000  0.5000  8 K 3.89

***

# 2
This record from the Alexandria database describes TaCu2Rh after structural relaxation. The functional is PBE.

Properties
Crystal system: tetragonal
SG: P4/mmm, No. 123
Energy of formation in meV per atom: 64.4
Uncorrected energy in eV/atom: -6.785

a = 2.8528 Å, b = 2.8528 Å, c = 6.9378 Å
α = 90.00°, β = 90.00°, γ = 90.00°
Last column: nearest neighbours and their distance in Å.
Fractional coordinates of all 4 atoms:
Cu  0.0000  0.0000  0.0156  4 Rh 2.59, 4 Ta 2.73, 4 Cu 2.85
Cu  0.0000  0.0000  0.4844  4 Rh 2.59, 4 Ta 2.73, 4 Cu 2.85
Rh  0.5000  0.5000  0.2500  8 Cu 2.59, 4 Rh 2.85
Ta  0.5000  0.5000  0.7500  8 Cu 2.73, 4 Ta 2.85

***

# 3
This record from the Alexandria database describes MgS2NF after structural relaxation. The functional is PBE.

Properties
E above lowest polymorph in meV per atom: 0
Crystal system: tetragonal
Formation energy from raw total energies in eV per formula unit: 4.99
SG: P4/mmm, No. 123
Uncorrected energy in eV/atom: -3.012

a = 4.4086 Å, b = 4.4086 Å, c = 3.9012 Å
α = 90.00°, β = 90.00°, γ = 90.00°
Last column: nearest neighbours and their distance in Å.
Fractional coordinates of all 5 atoms:
S  0.0000  0.5000  0.0000  2 F 2.20
S  0.5000  0.0000  0.0000  2 F 2.20
N  0.0000  0.0000  0.5000  2 F 1.95
Mg  0.5000  0.5000  0.5000  8 S 2.94, 4 N 3.12
F  0.0000  0.0000  0.0000  2 N 1.95

***

# 4
This record from the Alexandria database describes Na3CuPd2O6 after structural relaxation. The functional is PBE.

Properties
Crystal system: monoclinic
Formation energy from raw total energies in eV per formula unit: -10.56
SG: C2/m, No. 12
Uncorrected energy in eV/atom: -4.895

a = 5.5511 Å, b = 5.5511 Å, c = 5.5298 Å
α = 98.79°, β = 98.79°, γ = 121.74°
Last column: nearest neighbours and their distance in Å.
Fractional coordinates of all 12 atoms:
Na  0.1627  0.8373  0.5000  6 O 2.37-2.44
Na  0.8373  0.1627  0.5000  6 O 2.37-2.44
Na  0.5000  0.5000  0.5000  6 O 2.41-2.45
Cu  0.0000  0.0000  0.0000  6 O 2.05-2.23
Pd  0.3321  0.6679  0.0000  6 O 2.06-2.12
Pd  0.6679  0.3321  0.0000  6 O 2.06-2.12
O  0.9322  0.5826  0.7930  2 Pd 2.06-2.10, 1 Cu 2.23
O  0.7316  0.7316  0.1922  1 Cu 2.05, 2 Pd 2.12
O  0.0678  0.4174  0.2070  2 Pd 2.06-2.10, 1 Cu 2.23
O  0.5826  0.9322  0.7930  2 Pd 2.06-2.10, 1 Cu 2.23
O  0.2684  0.2684  0.8078  1 Cu 2.05, 2 Pd 2.12
O  0.4174  0.0678  0.2070  2 Pd 2.06-2.10, 1 Cu 2.23

***

| no. | density of states at the Fermi level (states/eV/cell) | calculated density (g/cm³) |
| --- | --- | --- |
| 1 | 3.94 | 3.6 |
| 2 | 4.24 | 12.1 |
| 3 | 4.31 | 2.7 |
| 4 | 7.05 | 5.3 |